Record 1
This record from Alexandria via LeMat-Bulk describes a relaxed structure of Tb4Ho2Mg. The functional is PBE.

Lattice parameters (Å, degrees): 5.8988 3.6093 10.7309 90.00 99.36 90.00
With the nearest neighbours (Å) after each atom.
Element x y z (fractional)
Tb 0.0550 0.0000 0.2018  6 Tb 3.48-3.61, 2 Mg 3.62-3.66, 3 Ho 3.73-3.79
Tb 0.4273 0.5000 0.7507  2 Mg 3.20, 3 Ho 3.32-3.37, 4 Tb 3.48-3.51
Tb 0.5727 0.5000 0.2493  2 Mg 3.20, 3 Ho 3.32-3.37, 4 Tb 3.48-3.51
Tb 0.9450 0.0000 0.7982  6 Tb 3.48-3.61, 2 Mg 3.62-3.66, 3 Ho 3.73-3.79
Ho 0.0000 0.5000 0.5000  6 Tb 3.37-3.73, 6 Ho 3.46-3.61
Ho 0.5000 0.0000 0.5000  4 Tb 3.32, 6 Ho 3.46-3.61
Mg 0.5000 0.0000 0.0000  4 Tb 3.20

Output
For the total energy, the calculation gives -28.328 eV/cell. For the calculated formation energy, the calculation gives 0.135 eV/atom. The calculated volume is 32.20 Å³ per atom. The space group is No. 10.

---

Record 2
This record from Alexandria via LeMat-Bulk describes a relaxed structure of KLiTl3. The functional is PBE.

Lattice parameters (Å, degrees): 5.3716 5.3716 5.3716 90.00 90.00 90.00
With the nearest neighbours (Å) after each atom.
Element x y z (fractional)
K 0.0000 0.0000 0.0000  12 Tl 3.80
Li 0.5000 0.5000 0.5000  6 Tl 2.69
Tl 0.0000 0.5000 0.5000  2 Li 2.69
Tl 0.5000 0.0000 0.5000  2 Li 2.69
Tl 0.5000 0.5000 0.0000  2 Li 2.69

Output
For the total energy, the calculation gives -10.333 eV/cell. For the calculated formation energy, the calculation gives -0.045 eV/atom. The calculated volume is 31.00 Å³ per atom. The space group is No. 221.

---

Record 3
This record from Alexandria via LeMat-Bulk describes a relaxed structure of K2LiMn. The functional is PBE.

Lattice parameters (Å, degrees): 3.8075 3.8075 10.8509 90.00 90.00 90.00
With the nearest neighbours (Å) after each atom.
Element x y z (fractional)
K 0.0000 0.0000 0.2358  4 Mn 3.71, 4 K 3.81, 4 Li 3.93
K 0.0000 0.0000 0.7642  4 Mn 3.71, 4 K 3.81, 4 Li 3.93
Li 0.5000 0.5000 0.5000  4 Li 3.81, 8 K 3.93
Mn 0.5000 0.5000 0.0000  8 K 3.71, 4 Mn 3.81

Output
For the total energy, the calculation gives -10.550 eV/cell. For the calculated formation energy, the calculation gives 0.682 eV/atom. The calculated volume is 39.33 Å³ per atom. The space group is No. 123.

---

> Which of these has the highest calculated volume?

K2LiMn